[1]
Here is crystalline La2Sm3Sc at its relaxed geometry from Alexandria via LeMat-Bulk. Energies are from PBE-GGA.

Results
Energy above the lowest structure with this stoichiometry   23 meV/atom
V   33.7 A^3/atom
DFT formation energy   0.1240 eV per atom
Total moment   0.000 μB per atom
Space group   C2/c, No. 15

POSCAR file:
```
La2Sm3Sc
1.0
8.732 -3.383 0.000
8.732 3.383 0.000
-0.937 0.000 6.840
La Sm Sc
4 6 2
Cartesian
2.972 0.457 0.951
2.504 -0.457 4.371
14.023 0.457 2.469
13.554 -0.457 5.888
8.498 1.929 1.710
5.834 0.303 3.265
5.365 -0.303 6.685
11.161 0.303 0.155
10.692 -0.303 3.575
8.029 -1.929 5.130
8.029 1.561 5.130
8.498 -1.561 1.710
```


[2]
Here is crystalline YNpTc2 at its relaxed geometry from Alexandria via LeMat-Bulk. Energies are from PBE-GGA.

Results
V   19.6 A^3/atom
DFT formation energy   0.0002 eV per atom
Total moment   0.361 μB per atom
Space group   P4/mmm, No. 123

POSCAR file:
```
YNpTc2
1.0
3.346 0.000 0.000
0.000 3.346 0.000
0.000 0.000 7.005
Y Np Tc
1 1 2
Cartesian
0.000 0.000 0.000
0.000 0.000 3.502
1.673 1.673 2.050
1.673 1.673 4.955
```


[3]
Here is crystalline ReNiPd at its relaxed geometry from Alexandria via LeMat-Bulk. Energies are from PBE-GGA.

Results
Energy above the lowest structure with this stoichiometry   0 meV/atom
V   13.7 A^3/atom
DFT formation energy   0.0285 eV per atom
Total moment   0.000 μB per atom
Space group   I4mm, No. 107

POSCAR file:
```
ReNiPd
1.0
-1.355 1.355 5.600
1.355 -1.355 5.600
1.355 1.355 -5.600
Re Ni Pd
1 1 1
Cartesian
0.000 0.000 0.000
0.000 0.000 7.283
0.000 0.000 3.605
```


[4]
Here is crystalline Er5AgPd4 at its relaxed geometry from Alexandria via LeMat-Bulk. Energies are from PBE-GGA.

Results
V   21.5 A^3/atom
DFT formation energy   -0.7985 eV per atom
Total moment   0.000 μB per atom
Space group   P4/mmm, No. 123

POSCAR file:
```
Er5AgPd4
1.0
3.495 0.000 0.000
0.000 3.495 0.000
0.000 0.000 17.620
Er Ag Pd
5 1 4
Cartesian
0.000 0.000 0.000
0.000 0.000 3.467
0.000 0.000 6.928
0.000 0.000 10.692
0.000 0.000 14.153
1.747 1.747 8.810
1.747 1.747 1.737
1.747 1.747 5.222
1.747 1.747 12.398
1.747 1.747 15.883
```


[5]
Here is crystalline TmThCdOs at its relaxed geometry from Alexandria via LeMat-Bulk. Energies are from PBE-GGA.

Results
V   23.5 A^3/atom
DFT formation energy   -0.1617 eV per atom
Total moment   0.000 μB per atom
Space group   F-43m, No. 216

POSCAR file:
```
TmThCdOs
1.0
0.000 3.609 3.609
3.609 0.000 3.609
3.609 3.609 0.000
Tm Th Cd Os
1 1 1 1
Cartesian
0.000 0.000 0.000
3.609 3.609 3.609
5.413 5.413 5.413
1.804 1.804 1.804
```


[6]
Here is crystalline Sb2TePPt at its relaxed geometry from Alexandria via LeMat-Bulk. Energies are from PBE-GGA.

Results
Energy above the lowest structure with this stoichiometry   134 meV/atom
V   26.2 A^3/atom
Energy relative to the elements, uncorrected   0.8603 eV per atom
Total moment   0.000 μB per atom
Space group   P4/mmm, No. 123

POSCAR file:
```
Sb2TePPt
1.0
5.063 0.000 0.000
0.000 5.063 0.000
0.000 0.000 5.118
Sb Te P Pt
2 1 1 1
Cartesian
0.000 2.532 0.000
2.532 0.000 0.000
0.000 0.000 2.559
0.000 0.000 0.000
2.532 2.532 2.559
```


[7]
Here is crystalline Pm6SnPb6 at its relaxed geometry from Alexandria via LeMat-Bulk. Energies are from PBE-GGA.

Results
V   31.8 A^3/atom
DFT formation energy   -0.4273 eV per atom
Total moment   0.000 μB per atom
Space group   P6/mmm, No. 191

POSCAR file:
```
Pm6SnPb6
1.0
6.719 0.000 0.000
-3.360 5.819 0.000
0.000 0.000 10.570
Pm Sn Pb
6 1 6
Cartesian
0.000 0.000 2.175
0.000 0.000 8.395
0.000 3.879 0.000
0.000 3.879 5.285
3.360 1.940 0.000
3.360 1.940 5.285
0.000 0.000 5.285
-1.680 2.910 2.616
-1.680 2.910 7.954
3.360 0.000 2.616
3.360 0.000 7.954
1.680 2.910 2.616
1.680 2.910 7.954
```


[8]
Here is crystalline PmHoSbAs at its relaxed geometry from Alexandria via LeMat-Bulk. Energies are from PBE-GGA.

Results
V   28.3 A^3/atom
Energy relative to the elements, uncorrected   -1.2658 eV per atom
Total moment   0.000 μB per atom
Space group   P4/mmm, No. 123

POSCAR file:
```
PmHoSbAs
1.0
4.321 0.000 0.000
0.000 4.321 0.000
0.000 0.000 6.073
Pm Ho Sb As
1 1 1 1
Cartesian
0.000 0.000 0.000
2.161 2.161 3.036
2.161 2.161 0.000
0.000 0.000 3.036
```


[9]
Here is crystalline Co2SiPb at its relaxed geometry from Alexandria via LeMat-Bulk. Energies are from PBE-GGA.

Results
Energy above the lowest structure with this stoichiometry   678 meV/atom
V   15.5 A^3/atom
Energy relative to the elements, uncorrected   0.7179 eV per atom
Total moment   0.467 μB per atom
Space group   F-43m, No. 216

POSCAR file:
```
Co2SiPb
1.0
0.000 3.141 3.141
3.141 0.000 3.141
3.141 3.141 0.000
Co Si Pb
2 1 1
Cartesian
0.000 0.000 0.000
1.570 1.570 1.570
4.711 4.711 4.711
3.141 3.141 3.141
```


[10]
Here is crystalline Be2Nb2Ni at its relaxed geometry from Alexandria via LeMat-Bulk. Energies are from PBE-GGA.

Results
Energy above the lowest structure with this stoichiometry   50 meV/atom
V   12.7 A^3/atom
DFT formation energy   -0.2174 eV per atom
Total moment   0.000 μB per atom
Space group   P4/mbm, No. 127

POSCAR file:
```
Be2Nb2Ni
1.0
5.921 0.000 0.000
0.000 5.921 0.000
0.000 0.000 3.631
Be Nb Ni
4 4 2
Cartesian
0.764 2.197 0.000
2.197 5.157 0.000
3.724 0.764 0.000
5.157 3.724 0.000
1.024 3.985 1.815
1.936 1.024 1.815
3.985 4.897 1.815
4.897 1.936 1.815
0.000 0.000 0.000
2.961 2.961 0.000
```


[11]
Here is crystalline LiBeN2F at its relaxed geometry from Alexandria via LeMat-Bulk. Energies are from PBE-GGA.

Results
Energy above the lowest structure with this stoichiometry   0 meV/atom
V   10.7 A^3/atom
Energy relative to the elements, uncorrected   -0.0765 eV per atom
Total moment   0.000 μB per atom
Space group   P4/mmm, No. 123

POSCAR file:
```
LiBeN2F
1.0
3.172 0.000 0.000
0.000 3.172 0.000
0.000 0.000 5.306
Li Be N F
1 1 2 1
Cartesian
0.000 0.000 0.000
1.586 1.586 2.653
0.000 1.586 2.653
1.586 0.000 2.653
1.586 1.586 0.000
```


[12]
Here is crystalline LiP2Ir at its relaxed geometry from Alexandria via LeMat-Bulk. Energies are from PBE-GGA.

Results
Energy above the lowest structure with this stoichiometry   293 meV/atom
V   13.3 A^3/atom
DFT formation energy   -0.2902 eV per atom
Total moment   0.000 μB per atom
Space group   Fm-3m, No. 225

POSCAR file:
```
LiP2Ir
1.0
0.000 2.988 2.988
2.988 0.000 2.988
2.988 2.988 0.000
Li P Ir
1 2 1
Cartesian
0.000 0.000 0.000
1.494 1.494 1.494
4.482 4.482 4.482
2.988 2.988 2.988
```


[13]
Here is crystalline Be2AgAs at its relaxed geometry from Alexandria via LeMat-Bulk. Energies are from PBE-GGA.

Results
V   18.6 A^3/atom
DFT formation energy   0.3824 eV per atom
Total moment   0.000 μB per atom
Space group   I-42d, No. 122

POSCAR file:
```
Be2AgAs
1.0
-2.601 2.601 5.496
2.601 -2.601 5.496
2.601 2.601 -5.496
Be Ag As
4 2 2
Cartesian
3.901 1.086 -1.374
1.086 1.300 1.374
-1.300 1.515 4.122
1.515 1.300 6.870
2.601 0.000 2.748
0.000 0.000 5.496
0.000 0.000 0.000
0.000 2.601 2.748
```


[14]
Here is crystalline CaPr5Cd4 at its relaxed geometry from Alexandria via LeMat-Bulk. Energies are from PBE-GGA.

Results
V   31.2 A^3/atom
DFT formation energy   -0.2353 eV per atom
Total moment   0.130 μB per atom
Space group   P4/mmm, No. 123

POSCAR file:
```
CaPr5Cd4
1.0
3.924 0.000 0.000
0.000 3.924 0.000
0.000 0.000 20.247
Ca Pr Cd
1 5 4
Cartesian
0.000 0.000 0.000
1.962 1.962 2.561
1.962 1.962 6.310
1.962 1.962 10.124
1.962 1.962 13.937
1.962 1.962 17.686
0.000 0.000 4.357
0.000 0.000 8.210
0.000 0.000 12.037
0.000 0.000 15.890
```


[15]
Here is crystalline CsTl4Pb at its relaxed geometry from Alexandria via LeMat-Bulk. Energies are from PBE-GGA.

Results
Energy above the lowest structure with this stoichiometry   15 meV/atom
V   37.7 A^3/atom
DFT formation energy   -0.0571 eV per atom
Total moment   0.000 μB per atom
Space group   P-1, No. 2

POSCAR file:
```
CsTl4Pb
1.0
4.761 0.000 0.000
-2.316 5.535 0.000
-0.013 -2.437 8.593
Cs Tl Pb
1 4 1
Cartesian
0.000 0.000 0.000
0.031 2.042 5.522
0.059 3.282 2.216
2.373 -0.183 6.376
2.401 1.056 3.070
-0.006 -1.218 4.296
```


[16]
Here is crystalline Y3PtRh at its relaxed geometry from Alexandria via LeMat-Bulk. Energies are from PBE-GGA.

Results
Energy above the lowest structure with this stoichiometry   622 meV/atom
V   28.6 A^3/atom
DFT formation energy   -0.2654 eV per atom
Total moment   0.000 μB per atom
Space group   Pm-3m, No. 221

POSCAR file:
```
Y3PtRh
1.0
5.227 0.000 0.000
0.000 5.227 0.000
0.000 0.000 5.227
Y Pt Rh
3 1 1
Cartesian
0.000 0.000 2.614
0.000 2.614 0.000
2.614 0.000 0.000
2.614 2.614 2.614
0.000 0.000 0.000
```


[17]
Here is crystalline LiHg2Mo at its relaxed geometry from Alexandria via LeMat-Bulk. Energies are from PBE-GGA.

Results
Energy above the lowest structure with this stoichiometry   99 meV/atom
V   18.5 A^3/atom
DFT formation energy   0.2913 eV per atom
Total moment   0.000 μB per atom
Space group   R-3m, No. 166

POSCAR file:
```
LiHg2Mo
1.0
1.493 0.862 9.580
-1.493 0.862 9.580
0.000 -1.724 9.580
Li Hg Mo
1 2 1
Cartesian
0.000 0.000 0.000
0.000 0.000 7.234
0.000 0.000 21.506
0.000 0.000 14.370
```


[18]
Here is crystalline CaHgAsRh2 at its relaxed geometry from Alexandria via LeMat-Bulk. Energies are from PBE-GGA.

Results
V   24.7 A^3/atom
DFT formation energy   1.2928 eV per atom
Total moment   0.180 μB per atom
Space group   P4/mmm, No. 123

POSCAR file:
```
CaHgAsRh2
1.0
4.808 0.000 0.000
0.000 4.808 0.000
0.000 0.000 5.341
Ca Hg As Rh
1 1 1 2
Cartesian
0.000 0.000 0.000
0.000 0.000 2.670
2.404 2.404 2.670
0.000 2.404 0.000
2.404 0.000 0.000
```


[19]
Here is crystalline NbTc2CSe at its relaxed geometry from Alexandria via LeMat-Bulk. Energies are from PBE-GGA.

Results
V   18.9 A^3/atom
Energy relative to the elements, uncorrected   1.8731 eV per atom
Total moment   0.000 μB per atom
Space group   P4/mmm, No. 123

POSCAR file:
```
NbTc2CSe
1.0
4.862 0.000 0.000
0.000 4.862 0.000
0.000 0.000 4.004
Nb Tc C Se
1 2 1 1
Cartesian
0.000 0.000 0.000
0.000 2.431 0.000
2.431 0.000 0.000
0.000 0.000 2.002
2.431 2.431 2.002
```


[20]
Here is crystalline PrSc4Sb5 at its relaxed geometry from Alexandria via LeMat-Bulk. Energies are from PBE-GGA.

Results
V   27.2 A^3/atom
Energy relative to the elements, uncorrected   -0.9540 eV per atom
Total moment   0.000 μB per atom
Space group   Immm, No. 71

POSCAR file:
```
PrSc4Sb5
1.0
-2.120 3.026 10.589
2.120 -3.026 10.589
2.120 3.026 -10.589
Pr Sc Sb
1 4 5
Cartesian
0.000 0.000 0.000
0.000 0.000 4.347
0.000 0.000 8.464
0.000 0.000 12.714
0.000 0.000 16.831
2.120 0.000 2.331
2.120 0.000 6.394
0.000 3.026 0.000
0.000 3.026 4.195
0.000 3.026 8.259
```


[21]
Here is crystalline RbBe2SiB at its relaxed geometry from Alexandria via LeMat-Bulk. Energies are from PBE-GGA.

Results
V   17.6 A^3/atom
Energy relative to the elements, uncorrected   1.2089 eV per atom
Total moment   0.000 μB per atom
Space group   P4/mmm, No. 123

POSCAR file:
```
RbBe2SiB
1.0
4.510 0.000 0.000
0.000 4.510 0.000
0.000 0.000 4.326
Rb Be Si B
1 2 1 1
Cartesian
0.000 0.000 0.000
0.000 2.255 2.163
2.255 0.000 2.163
2.255 2.255 2.163
2.255 2.255 0.000
```


[22]
Here is crystalline VMoOs at its relaxed geometry from Alexandria via LeMat-Bulk. Energies are from PBE-GGA.

Results
Energy above the lowest structure with this stoichiometry   357 meV/atom
V   15.5 A^3/atom
DFT formation energy   0.2825 eV per atom
Total moment   0.000 μB per atom
Space group   P4/nmm, No. 129

POSCAR file:
```
VMoOs
1.0
3.748 0.000 0.000
0.000 3.748 0.000
0.000 0.000 6.630
V Mo Os
2 2 2
Cartesian
0.937 2.811 0.000
2.811 0.937 0.000
0.937 0.937 2.329
2.811 2.811 4.301
0.937 0.937 4.849
2.811 2.811 1.781
```


[23]
Here is crystalline LaNdGaSn at its relaxed geometry from Alexandria via LeMat-Bulk. Energies are from PBE-GGA.

Results
Energy above the lowest structure with this stoichiometry   0 meV/atom
V   29.4 A^3/atom
DFT formation energy   -0.7117 eV per atom
Total moment   0.080 μB per atom
Space group   Amm2, No. 38

POSCAR file:
```
LaNdGaSn
1.0
4.302 0.000 0.000
0.000 2.333 5.863
0.000 -2.333 5.863
La Nd Ga Sn
1 1 1 1
Cartesian
0.000 0.000 0.000
2.151 0.000 3.290
2.151 0.000 6.549
0.000 0.000 8.378
```


[24]
Here is crystalline KLiSe2Br at its relaxed geometry from Alexandria via LeMat-Bulk. Energies are from PBE-GGA.

Results
Energy above the lowest structure with this stoichiometry   0 meV/atom
V   28.6 A^3/atom
Energy relative to the elements, uncorrected   -0.5676 eV per atom
Total moment   0.092 μB per atom
Space group   P4/mmm, No. 123

POSCAR file:
```
KLiSe2Br
1.0
4.640 0.000 0.000
0.000 4.640 0.000
0.000 0.000 6.651
K Li Se Br
1 1 2 1
Cartesian
0.000 0.000 0.000
2.320 2.320 3.325
0.000 2.320 3.325
2.320 0.000 3.325
2.320 2.320 0.000
```


[25]
Here is crystalline Gd2Fe17 at its relaxed geometry from Alexandria via LeMat-Bulk. Energies are from PBE-GGA.

Results
Energy above the lowest structure with this stoichiometry   16 meV/atom
V   13.6 A^3/atom
DFT formation energy   0.0234 eV per atom
Total moment   2.794 μB per atom
Space group   R-3m, No. 166

POSCAR file:
```
Gd2Fe17
1.0
4.236 2.446 4.149
-4.236 2.446 4.149
0.000 -4.892 4.149
Gd Fe
2 17
Cartesian
0.000 0.000 1.989
0.000 0.000 10.458
-2.118 -1.223 4.149
0.000 -2.443 4.031
-2.115 1.221 4.031
-1.247 -2.159 6.224
-2.493 0.000 6.224
-2.115 -1.221 8.417
0.000 0.000 5.025
-2.118 1.223 8.298
1.247 -2.159 6.224
0.000 2.446 4.149
-1.247 2.159 6.224
0.000 0.000 7.422
2.115 1.221 4.031
2.493 0.000 6.224
1.247 2.159 6.224
2.115 -1.221 8.417
0.000 2.443 8.417
```


[26]
Here is crystalline MgTa2Te at its relaxed geometry from Alexandria via LeMat-Bulk. Energies are from PBE-GGA.

Results
Energy above the lowest structure with this stoichiometry   253 meV/atom
V   19.5 A^3/atom
Energy relative to the elements, uncorrected   0.3678 eV per atom
Total moment   0.001 μB per atom
Space group   I4/mmm, No. 139

POSCAR file:
```
MgTa2Te
1.0
-2.047 2.047 4.655
2.047 -2.047 4.655
2.047 2.047 -4.655
Mg Ta Te
1 2 1
Cartesian
0.000 0.000 0.000
2.047 0.000 2.327
0.000 2.047 2.327
0.000 0.000 4.655
```